! TlSi2Ir, optimized geometry, DFT PBE; values from VASP
&SYSTEM
  ibrav = 0, nat = 16, ntyp = 3
/
ATOMIC_SPECIES
Tl 204.38 Tl.upf
Si 28.09 Si.upf
Ir 192.22 Ir.upf
CELL_PARAMETERS angstrom
6.527 0.000 0.000
0.000 6.527 0.000
0.000 0.000 6.527
ATOMIC_POSITIONS angstrom
Tl 0.000 0.000 0.000
Tl 0.000 3.264 3.264
Tl 3.264 0.000 3.264
Tl 3.264 3.264 0.000
Si 0.000 0.000 3.264
Si 0.000 3.264 0.000
Si 1.632 1.632 4.895
Si 1.632 4.895 1.632
Si 3.264 0.000 0.000
Si 3.264 3.264 3.264
Si 4.895 1.632 1.632
Si 4.895 4.895 4.895
Ir 1.632 1.632 1.632
Ir 1.632 4.895 4.895
Ir 4.895 1.632 4.895
Ir 4.895 4.895 1.632
! symmetry = F-43m


! Tl4Si2Ir, optimized geometry, DFT PBE; values from VASP
&SYSTEM
  ibrav = 0, nat = 14, ntyp = 3
/
ATOMIC_SPECIES
Tl 204.38 Tl.upf
Si 28.09 Si.upf
Ir 192.22 Ir.upf
CELL_PARAMETERS angstrom
12.129 0.000 0.000
0.000 7.623 0.000
-1.000 0.000 3.543
ATOMIC_POSITIONS angstrom
Tl 1.507 1.597 0.471
Tl 1.507 6.025 0.471
Tl 3.558 2.214 3.072
Tl 3.558 5.409 3.072
Tl 7.571 2.214 0.471
Tl 7.571 5.409 0.471
Tl 9.623 1.597 3.072
Tl 9.623 6.025 3.072
Si 0.667 3.811 2.132
Si 4.398 0.000 1.412
Si 6.732 0.000 2.132
Si 10.462 3.811 1.412
Ir -0.500 0.000 1.772
Ir 5.565 3.811 1.772
! symmetry = C2/m


! Tl2SiIr, optimized geometry, DFT PBE; values from VASP
&SYSTEM
  ibrav = 0, nat = 16, ntyp = 3
/
ATOMIC_SPECIES
Tl 204.38 Tl.upf
Si 28.09 Si.upf
Ir 192.22 Ir.upf
CELL_PARAMETERS angstrom
6.906 0.000 0.000
0.000 6.906 0.000
0.000 0.000 6.906
ATOMIC_POSITIONS angstrom
Tl 0.000 0.000 0.000
Tl 0.000 3.453 3.453
Tl 1.726 1.726 1.726
Tl 1.726 5.179 5.179
Tl 3.453 0.000 3.453
Tl 3.453 3.453 0.000
Tl 5.179 1.726 5.179
Tl 5.179 5.179 1.726
Si 0.000 0.000 3.453
Si 0.000 3.453 0.000
Si 3.453 0.000 0.000
Si 3.453 3.453 3.453
Ir 1.726 1.726 5.179
Ir 1.726 5.179 1.726
Ir 5.179 1.726 1.726
Ir 5.179 5.179 5.179
! symmetry = F-43m


| no. | spin magnetization (μB/cell) | E (eV per formula unit) |
| --- | --- | --- |
| 1 | 0.00 | -19.5 |
| 2 | 0.00 | -25.2 |
| 3 | 0.00 | -16.3 |